VASP calculation (meta-GGA SCAN) on TaBiIr3 at its PBEsol-relaxed geometry.

Geometry as POSCAR:
```
TaBiIr3
1.0
-3.706 0.748 -2.907
2.857 -0.536 -3.780
-0.920 -4.679 -0.032
Ir Bi Ta
3 1 1
Cartesian
1.429 -0.268 -1.890
-0.460 -2.340 -0.016
-1.853 0.374 -1.453
-0.884 -2.233 -3.360
0.000 0.000 0.000
```

Calculated values
* total DFT energy (no corrections): -70.353 eV/atom
* symmetry: Pm-3m
* formation enthalpy at 0 K: 1.3392 eV per atom



VASP calculation (meta-GGA SCAN) on ZrTc2BiIr at its PBEsol-relaxed geometry.

Geometry as POSCAR:
```
ZrTc2BiIr
1.0
-0.184 4.736 0.586
-3.304 -0.562 3.501
3.540 -0.270 3.298
Ir Bi Zr Tc
1 1 1 2
Cartesian
-0.092 2.368 0.293
0.000 0.000 0.000
0.026 1.952 3.692
1.770 -0.135 1.649
-1.652 -0.281 1.750
```

Calculated values
* total DFT energy (no corrections): -48.288 eV/atom
* symmetry: P4/mmm
* formation enthalpy at 0 K: 1.8113 eV per atom



VASP calculation (meta-GGA SCAN) on Bi3TeIr at its PBEsol-relaxed geometry.

Geometry as POSCAR:
```
Bi3TeIr
1.0
-2.326 -0.154 -4.780
4.545 -1.725 -2.156
-1.488 -5.029 0.887
Ir Te Bi
1 1 3
Cartesian
0.000 0.000 0.000
0.366 -3.454 -3.025
2.273 -0.862 -1.078
-0.744 -2.514 0.443
-1.163 -0.077 -2.390
```

Calculated values
* total DFT energy (no corrections): -68.318 eV/atom
* symmetry: Pm-3m
* energy relative to the elements, uncorrected: 2.5 eV/f.u.



> What is the total DFT energy (no corrections) in the second record?

-48.288 eV/atom



> Among the records above, which one has the lowest total DFT energy (no corrections)?

TaBiIr3



> Among the records above, which one has the highest total DFT energy (no corrections)?

ZrTc2BiIr



> The lowest total DFT energy (no corrections) belongs to which entry?

TaBiIr3